(1)
{
  "formula": "InBrO2",
  "functional": "GGA-PBE",
  "state": "relaxed",
  "lattice_angstrom": [[-1.809, -4.639, 4.193], [0.433, -6.158, 2.067], [1.574, -4.236, 4.686]],
  "species": ["Br", "O", "O", "In"],
  "frac_coords": [[0.000, 0.000, 0.000], [0.113, 0.113, 0.113], [0.887, 0.887, 0.887], [0.500, 0.500, 0.500]],
  "e_form_raw_ev_per_atom": -0.841,
  "sg": "R-3m, No. 166"
}

(2)
{
  "formula": "Tm2GeH",
  "functional": "GGA-PBE",
  "state": "relaxed",
  "lattice_angstrom": [[4.335, 0.000, 0.000], [2.168, 3.755, 0.000], [2.168, 1.252, 6.755]],
  "species": ["H", "Tm", "Tm", "Ge"],
  "frac_coords": [[0.000, 0.000, 0.000], [0.102, 0.102, 0.695], [0.898, 0.898, 0.305], [0.500, 0.500, 0.500]],
  "final_energy_ev_per_atom": -4.57,
  "sg": "R-3m, No. 166"
}

(3)
{
  "formula": "KLiTePb",
  "functional": "GGA-PBE",
  "state": "relaxed",
  "lattice_angstrom": [[-1.812, -0.628, -4.063], [1.322, -4.294, 0.075], [-11.946, -3.575, 5.882]],
  "species": ["Te", "Te", "Li", "Li", "Pb", "Pb", "K", "K"],
  "frac_coords": [[0.250, 0.250, 0.122], [0.750, 0.750, 0.878], [0.250, 0.750, 0.000], [0.750, 0.250, 0.000], [0.750, 0.250, 0.500], [0.250, 0.750, 0.500], [0.750, 0.750, 0.227], [0.250, 0.250, 0.773]],
  "e_form_raw_ev_per_atom": -0.623,
  "sg": "P4/nmm, No. 129"
}

(4)
{
  "formula": "Pm2HoTm2",
  "functional": "GGA-PBE",
  "state": "relaxed",
  "lattice_angstrom": [[3.446, 0.000, 0.910], [1.708, 3.085, 0.512], [-1.962, -3.349, 14.407]],
  "species": ["Tm", "Tm", "Pm", "Pm", "Ho"],
  "frac_coords": [[0.361, 0.972, 0.305], [0.639, 0.028, 0.695], [0.773, 0.559, 0.895], [0.227, 0.441, 0.105], [0.500, 0.500, 0.500]],
  "sg": "C2/m, No. 12",
  "e_form_ev_per_atom": 0.0285
}

(5)
{
  "formula": "NaAg12Sn4",
  "functional": "GGA-PBE",
  "state": "relaxed",
  "lattice_angstrom": [[-1.631, -7.469, -3.022], [7.756, 2.050, -1.798], [-0.994, -0.068, 8.160]],
  "species": ["Ag", "Ag", "Ag", "Ag", "Ag", "Ag", "Ag", "Ag", "Ag", "Ag", "Ag", "Ag", "Sn", "Sn", "Sn", "Sn", "Na"],
  "frac_coords": [[0.502, 0.147, 0.355], [0.355, 0.208, 0.853], [0.853, 0.355, 0.208], [0.853, 0.645, 0.498], [0.147, 0.355, 0.502], [0.498, 0.853, 0.645], [0.645, 0.498, 0.853], [0.147, 0.645, 0.792], [0.792, 0.147, 0.645], [0.645, 0.792, 0.147], [0.208, 0.853, 0.355], [0.355, 0.502, 0.147], [0.500, 0.000, 0.000], [0.500, 0.500, 0.500], [0.000, 0.000, 0.500], [0.000, 0.500, 0.000], [0.000, 0.000, 0.000]],
  "sg": "Im-3, No. 204",
  "e_form_ev_per_atom": 0.3221
}

(6)
{
  "formula": "MgHg5",
  "functional": "GGA-PBE",
  "state": "relaxed",
  "lattice_angstrom": [[3.434, 0.000, 0.000], [0.000, 3.434, 0.000], [0.000, 0.000, 12.606]],
  "species": ["Hg", "Hg", "Hg", "Hg", "Hg", "Mg"],
  "frac_coords": [[0.000, 0.000, 0.977], [0.000, 0.000, 0.690], [0.000, 0.000, 0.333], [0.500, 0.500, 0.154], [0.500, 0.500, 0.512], [0.500, 0.500, 0.833]],
  "sg": "P4/mmm, No. 123",
  "e_form_ev_per_atom": -0.0437
}

Question: Which formula does entry 6 have?
Answer: MgHg5